Computed, not measured: LiCaTeI after structural relaxation at the PBE level of DFT.

E_tot (eV/atom): -3.52
Space-group type: No. 160
DOS(E_F) (states/eV per atom): 0.00
E_form (uncorrected) (eV per atom): -1.3704
Volume (Å³/atom): 32.11

```
4
Lattice="2.241 1.294 7.385 -2.241 1.294 7.385 0.000 -2.587 7.385" Properties=species:S:1:pos:R:3 pbc="T T T"
Li 0.000 0.000 0.000
Ca 0.000 0.000 10.259
Te 0.000 0.000 15.876
I 0.000 0.000 4.815
```

***

Computed, not measured: LiCaTeI2 after structural relaxation at the PBE level of DFT.

E_tot (eV/atom): -2.76
Space-group type: No. 123
DOS(E_F) (states/eV per atom): 0.92
Polymorph energy (0 for the lowest one) (kcal/mol of atoms): 0.412
E_form (uncorrected) (eV per atom): -0.7319
Volume (Å³/atom): 32.36

```
5
Lattice="5.436 0.000 0.000 0.000 5.436 0.000 0.000 0.000 5.476" Properties=species:S:1:pos:R:3 pbc="T T T"
Li 0.000 0.000 0.000
Ca 2.718 2.718 2.738
Te 0.000 0.000 2.738
I 0.000 2.718 0.000
I 2.718 0.000 0.000
```

***

Computed, not measured: LiCaTe2I after structural relaxation at the PBE level of DFT.

E_tot (eV/atom): -2.80
Space-group type: No. 123
DOS(E_F) (states/eV per atom): 1.34
Polymorph energy (0 for the lowest one) (kcal/mol of atoms): 3.701
E_form (uncorrected) (eV per atom): -0.4548
Volume (Å³/atom): 43.38

```
5
Lattice="5.926 0.000 0.000 0.000 5.926 0.000 0.000 0.000 6.177" Properties=species:S:1:pos:R:3 pbc="T T T"
Li 0.000 0.000 0.000
Ca 2.963 2.963 3.089
Te 0.000 2.963 3.089
Te 2.963 0.000 3.089
I 2.963 2.963 0.000
```

***

Computed, not measured: LiCaTeI2 after structural relaxation at the PBE level of DFT.

E_tot (eV/atom): -2.78
Space-group type: No. 123
DOS(E_F) (states/eV per atom): 0.87
Polymorph energy (0 for the lowest one) (kcal/mol of atoms): 0.000
E_form (uncorrected) (eV per atom): -0.7498
Volume (Å³/atom): 45.61

```
5
Lattice="6.121 0.000 0.000 0.000 6.121 0.000 0.000 0.000 6.088" Properties=species:S:1:pos:R:3 pbc="T T T"
Li 0.000 0.000 0.000
Ca 3.060 3.060 3.044
Te 3.060 3.060 0.000
I 0.000 3.060 3.044
I 3.060 0.000 3.044
```